An optimized crystal structure of Rb2SiCl4. Source: Alexandria via LeMat-Bulk, functional GGA-PBE.

```
Rb2SiCl4
1.0
5.161 0.000 0.000
0.000 5.161 0.000
2.580 2.580 8.288
Si Rb Cl
1 2 4
Direct
0.000 0.000 0.000
0.642 0.642 0.717
0.358 0.358 0.283
0.842 0.842 0.317
0.158 0.158 0.683
0.000 0.500 0.000
0.500 0.000 0.000
```

Calculated values
- space-group type = I4/mmm
- ΔE_f (raw) (eV/atom) = -1.3691

An optimized crystal structure of RbSiCl. Source: Alexandria via LeMat-Bulk, functional GGA-PBE.

```
RbSiCl
1.0
3.882 -0.016 0.003
0.026 4.144 0.004
1.935 1.105 11.381
Si Rb Cl
2 2 2
Direct
0.200 0.474 0.714
0.659 0.646 0.794
0.812 0.083 0.493
0.985 0.177 0.144
0.400 0.631 0.316
0.562 0.718 0.988
```

Calculated values
- N(E_F) (states/eV per atom) = 0.166
- space-group type = P1
- ΔE_f (raw) (eV/atom) = -0.8067

An optimized crystal structure of Rb2SiSnCl6. Source: Alexandria via LeMat-Bulk, functional GGA-PBE.

```
Rb2SiSnCl6
1.0
7.603 0.000 0.000
0.000 7.603 0.000
3.802 3.802 5.376
Si Sn Rb Cl
1 1 2 6
Direct
0.500 0.500 0.000
0.000 0.000 0.000
0.750 0.250 0.500
0.250 0.750 0.500
0.261 0.261 0.479
0.739 0.739 0.521
0.261 0.261 0.000
0.739 0.739 0.000
0.739 0.261 0.000
0.261 0.739 0.000
```

Calculated values
- N(E_F) (states/eV per atom) = 0.000
- space-group type = Fm-3m
- ΔE_f (raw) (eV/atom) = -1.2669

An optimized crystal structure of Rb2SrSiCl6. Source: Alexandria via LeMat-Bulk, functional GGA-PBE.

```
Rb2SrSiCl6
1.0
-4.049 5.926 2.843
-6.569 -3.752 -1.537
-5.166 -1.194 5.611
Sr Si Rb Cl
1 1 2 6
Direct
0.000 0.000 0.000
0.500 0.500 0.000
0.750 0.250 0.500
0.250 0.750 0.500
0.261 0.261 0.478
0.739 0.739 0.522
0.261 0.261 0.000
0.739 0.739 0.000
0.739 0.261 0.000
0.261 0.739 0.000
```

Calculated values
- N(E_F) (states/eV per atom) = 0.000
- space-group type = Fm-3m
- ΔE_f (raw) (eV/atom) = -1.6610

An optimized crystal structure of RbSiTcCl2. Source: Alexandria via LeMat-Bulk, functional GGA-PBE.

```
RbSiTcCl2
1.0
5.578 0.000 0.000
0.000 4.793 0.000
0.000 0.000 5.578
Si Tc Rb Cl
1 1 1 2
Direct
0.000 0.000 0.000
0.000 0.500 0.000
0.500 0.500 0.500
0.000 0.000 0.500
0.500 0.000 0.000
```

Calculated values
- N(E_F) (states/eV per atom) = 0.906
- space-group type = P4/mmm
- ΔE_f (raw) (eV/atom) = 0.0628

An optimized crystal structure of Rb2SiTcCl6. Source: Alexandria via LeMat-Bulk, functional GGA-PBE.

```
Rb2SiTcCl6
1.0
7.547 0.000 0.000
0.000 7.547 0.000
3.773 3.773 4.547
Si Tc Rb Cl
1 1 2 6
Direct
0.500 0.500 0.000
0.000 0.000 0.000
0.750 0.250 0.500
0.250 0.750 0.500
0.254 0.254 0.492
0.746 0.746 0.508
0.232 0.232 0.000
0.768 0.768 0.000
0.768 0.232 0.000
0.232 0.768 0.000
```

Calculated values
- N(E_F) (states/eV per atom) = 0.380
- space-group type = I4/mmm
- ΔE_f (raw) (eV/atom) = -0.9165

An optimized crystal structure of RbY2SiCl. Source: Alexandria via LeMat-Bulk, functional GGA-PBE.

```
RbY2SiCl
1.0
-0.568 -4.364 -3.035
5.780 -4.662 5.622
-4.154 -1.541 2.992
Y Si Rb Cl
2 1 1 1
Direct
0.000 0.000 0.500
0.500 0.000 0.000
0.000 0.000 0.000
0.500 0.500 0.500
0.000 0.500 0.000
```

Calculated values
- N(E_F) (states/eV per atom) = 0.221
- space-group type = P4/mmm
- ΔE_f (raw) (eV/atom) = -0.1411

An optimized crystal structure of RbY2SiCl. Source: Alexandria via LeMat-Bulk, functional GGA-PBE.

```
RbY2SiCl
1.0
-2.905 -0.862 -4.483
5.755 -3.391 -3.077
-1.707 -4.724 2.013
Y Si Rb Cl
2 1 1 1
Direct
0.000 0.000 0.500
0.500 0.000 0.000
0.000 0.000 0.000
0.000 0.500 0.000
0.500 0.500 0.500
```

Calculated values
- N(E_F) (states/eV per atom) = 0.525
- space-group type = P4/mmm
- ΔE_f (raw) (eV/atom) = -0.2326

An optimized crystal structure of RbZnSiCl2. Source: Alexandria via LeMat-Bulk, functional GGA-PBE.

```
RbZnSiCl2
1.0
5.590 0.000 0.000
0.000 5.590 0.000
0.000 0.000 4.652
Zn Si Rb Cl
1 1 1 2
Direct
0.000 0.000 0.000
0.000 0.000 0.500
0.500 0.500 0.500
0.000 0.500 0.000
0.500 0.000 0.000
```

Calculated values
- N(E_F) (states/eV per atom) = 0.662
- space-group type = P4/mmm
- ΔE_f (raw) (eV/atom) = -0.4483

An optimized crystal structure of RbSm2Cl7. Source: Alexandria via LeMat-Bulk, functional GGA-PBE.

```
RbSm2Cl7
1.0
7.135 0.000 0.000
0.000 12.978 0.000
0.000 0.000 13.754
Rb Sm Cl
4 8 28
Direct
0.250 0.801 0.032
0.750 0.199 0.968
0.750 0.301 0.468
0.250 0.699 0.532
0.250 0.461 0.237
0.750 0.539 0.763
0.750 0.961 0.263
0.250 0.039 0.737
0.250 0.157 0.245
0.750 0.843 0.755
0.750 0.657 0.255
0.250 0.343 0.745
0.010 0.308 0.172
0.990 0.692 0.828
0.990 0.808 0.328
0.510 0.692 0.828
0.010 0.192 0.672
0.490 0.308 0.172
0.490 0.192 0.672
0.510 0.808 0.328
0.011 0.581 0.125
0.989 0.419 0.875
0.989 0.081 0.375
0.511 0.419 0.875
0.011 0.919 0.625
0.489 0.581 0.125
0.489 0.919 0.625
0.511 0.081 0.375
0.009 0.039 0.132
0.991 0.961 0.868
0.991 0.539 0.368
0.509 0.961 0.868
0.009 0.461 0.632
0.491 0.039 0.132
0.491 0.461 0.632
0.509 0.539 0.368
0.250 0.312 0.386
0.750 0.688 0.614
0.750 0.812 0.114
0.250 0.188 0.886
```

Calculated values
- N(E_F) (states/eV per atom) = 0.000
- space-group type = Pnma
- ΔE_f (raw) (eV/atom) = -2.2619

An optimized crystal structure of Rb2SmCl6. Source: Alexandria via LeMat-Bulk, functional GGA-PBE.

```
Rb2SmCl6
1.0
-0.424 3.246 2.935
-2.329 -5.556 5.810
8.102 1.916 -0.948
Rb Sm Cl
2 1 6
Direct
0.000 0.333 0.666
0.000 0.667 0.334
0.500 0.000 0.000
0.500 0.659 0.000
0.500 0.341 0.342
0.500 0.000 0.658
0.000 0.230 0.000
0.000 0.771 0.771
0.000 0.000 0.229
```

Calculated values
- N(E_F) (states/eV per atom) = 0.927
- space-group type = Amm2
- ΔE_f (raw) (eV/atom) = -1.8094

An optimized crystal structure of RbSm2Cl6. Source: Alexandria via LeMat-Bulk, functional GGA-PBE.

```
RbSm2Cl6
1.0
-7.563 0.416 0.808
-0.479 3.305 -6.178
-0.356 -7.008 0.270
Rb Sm Cl
1 2 6
Direct
0.000 0.000 0.000
0.500 0.667 0.333
0.500 0.333 0.667
0.711 0.639 0.639
0.289 0.639 0.000
0.289 0.000 0.639
0.711 0.361 0.000
0.289 0.361 0.361
0.711 0.000 0.361
```

Calculated values
- N(E_F) (states/eV per atom) = 0.557
- space-group type = P-31m
- ΔE_f (raw) (eV/atom) = -2.0932

An optimized crystal structure of RbSm2Cl7. Source: Alexandria via LeMat-Bulk, functional GGA-PBE.

```
RbSm2Cl7
1.0
5.424 0.000 0.000
0.000 8.212 -0.014
0.000 -3.636 7.363
Rb Sm Cl
1 2 7
Direct
0.000 0.000 0.000
0.500 0.697 0.303
0.500 0.303 0.697
0.000 0.709 0.291
0.000 0.291 0.709
0.500 0.049 0.327
0.500 0.951 0.673
0.500 0.327 0.049
0.500 0.673 0.951
0.500 0.500 0.500
```

Calculated values
- N(E_F) (states/eV per atom) = 0.000
- space-group type = Cmmm
- ΔE_f (raw) (eV/atom) = -2.2270

An optimized crystal structure of Rb2SmCl4. Source: Alexandria via LeMat-Bulk, functional GGA-PBE.

```
Rb2SmCl4
1.0
5.464 0.000 0.000
0.000 5.464 0.000
-2.732 -2.732 8.423
Rb Sm Cl
2 1 4
Direct
0.642 0.642 0.283
0.358 0.358 0.717
0.000 0.000 0.000
0.835 0.835 0.671
0.165 0.165 0.329
0.000 0.500 0.000
0.500 0.000 0.000
```

Calculated values
- N(E_F) (states/eV per atom) = 0.456
- space-group type = I4/mmm
- ΔE_f (raw) (eV/atom) = -1.8874

An optimized crystal structure of Rb4SmCl7. Source: Alexandria via LeMat-Bulk, functional GGA-PBE.

```
Rb4SmCl7
1.0
5.102 0.000 -1.666
-1.189 6.517 -3.642
1.188 2.699 12.282
Rb Sm Cl
4 1 7
Direct
0.412 0.471 0.823
0.588 0.529 0.177
0.295 0.820 0.589
0.705 0.180 0.411
0.000 0.000 0.000
0.104 0.263 0.208
0.896 0.737 0.792
0.947 0.261 0.894
0.053 0.739 0.106
0.718 0.752 0.437
0.500 0.000 0.000
0.282 0.248 0.563
```

Calculated values
- N(E_F) (states/eV per atom) = 0.000
- space-group type = C2/m
- ΔE_f (raw) (eV/atom) = -2.0301

An optimized crystal structure of RbSmSnCl6. Source: Alexandria via LeMat-Bulk, functional GGA-PBE.

```
RbSmSnCl6
1.0
6.932 0.000 0.000
0.000 6.932 0.000
0.000 0.000 13.217
Rb Sm Sn Cl
2 2 2 12
Direct
0.500 0.500 0.497
0.000 0.000 0.997
0.500 0.500 0.832
0.000 0.000 0.332
0.500 0.500 0.166
0.000 0.000 0.666
0.173 0.827 0.495
0.827 0.173 0.495
0.327 0.327 0.995
0.673 0.673 0.995
0.206 0.794 0.193
0.794 0.206 0.193
0.294 0.294 0.693
0.706 0.706 0.693
0.776 0.224 0.814
0.224 0.776 0.814
0.724 0.724 0.314
0.276 0.276 0.314
```

Calculated values
- N(E_F) (states/eV per atom) = 0.000
- space-group type = P4_2nm
- ΔE_f (raw) (eV/atom) = -1.7796

An optimized crystal structure of RbSrSmCl6. Source: Alexandria via LeMat-Bulk, functional GGA-PBE.

```
RbSrSmCl6
1.0
7.472 0.000 0.000
-3.736 6.471 0.000
0.000 0.000 13.892
Rb Sr Sm Cl
2 2 2 12
Direct
0.000 0.000 0.000
0.000 0.000 0.500
0.333 0.667 0.250
0.667 0.333 0.750
0.667 0.333 0.250
0.333 0.667 0.750
0.639 0.620 0.139
0.981 0.361 0.139
0.361 0.981 0.639
0.019 0.639 0.861
0.380 0.361 0.361
0.981 0.620 0.361
0.620 0.981 0.861
0.639 0.019 0.361
0.019 0.380 0.639
0.380 0.019 0.139
0.620 0.639 0.639
0.361 0.380 0.861
```

Calculated values
- N(E_F) (states/eV per atom) = 0.000
- space-group type = P-31c
- ΔE_f (raw) (eV/atom) = -2.3023

An optimized crystal structure of RbSmTeCl2. Source: Alexandria via LeMat-Bulk, functional GGA-PBE.

```
RbSmTeCl2
1.0
4.537 0.000 0.000
-2.268 8.931 0.000
0.000 0.000 8.878
Rb Sm Te Cl
2 2 2 4
Direct
0.716 0.431 0.750
0.284 0.569 0.250
0.000 0.000 0.000
0.000 0.000 0.500
0.494 0.988 0.750
0.506 0.012 0.250
0.150 0.301 0.988
0.850 0.699 0.012
0.150 0.301 0.512
0.850 0.699 0.488
```

Calculated values
- space-group type = Cmcm
- ΔE_f (raw) (eV/atom) = -1.8627

An optimized crystal structure of RbSmVCl6. Source: Alexandria via LeMat-Bulk, functional GGA-PBE.

```
RbSmVCl6
1.0
-3.870 3.731 -4.092
-2.479 -5.635 2.784
-4.769 7.873 11.687
Rb Sm V Cl
2 2 2 12
Direct
0.000 0.000 0.000
0.000 0.000 0.500
0.667 0.333 0.250
0.333 0.667 0.750
0.333 0.667 0.250
0.667 0.333 0.750
0.621 0.645 0.150
0.024 0.379 0.150
0.379 0.024 0.650
0.976 0.621 0.850
0.355 0.379 0.350
0.024 0.645 0.350
0.645 0.024 0.850
0.621 0.976 0.350
0.976 0.355 0.650
0.355 0.976 0.150
0.645 0.621 0.650
0.379 0.355 0.850
```

Calculated values
- space-group type = P-31c
- ΔE_f (raw) (eV/atom) = -1.8492

An optimized crystal structure of RbSmZnCl6. Source: Alexandria via LeMat-Bulk, functional GGA-PBE.

```
RbSmZnCl6
1.0
6.840 0.000 0.000
-3.420 5.924 0.000
0.000 0.000 14.554
Rb Sm Zn Cl
2 2 2 12
Direct
0.000 0.000 0.000
0.000 0.000 0.500
0.333 0.667 0.250
0.667 0.333 0.750
0.667 0.333 0.250
0.333 0.667 0.750
0.635 0.612 0.148
0.977 0.365 0.148
0.365 0.977 0.648
0.023 0.635 0.852
0.388 0.365 0.352
0.977 0.612 0.352
0.612 0.977 0.852
0.635 0.023 0.352
0.023 0.388 0.648
0.388 0.023 0.148
0.612 0.635 0.648
0.365 0.388 0.852
```

Calculated values
- N(E_F) (states/eV per atom) = 0.000
- space-group type = P-31c
- ΔE_f (raw) (eV/atom) = -1.8218

An optimized crystal structure of RbSn2Cl8. Source: Alexandria via LeMat-Bulk, functional GGA-PBE.

```
RbSn2Cl8
1.0
8.526 0.942 0.715
1.505 7.662 1.177
1.505 3.197 7.063
Rb Sn Cl
1 2 8
Direct
0.000 0.000 0.000
0.695 0.790 0.790
0.305 0.210 0.210
0.233 0.375 0.875
0.767 0.125 0.625
0.400 0.821 0.821
0.600 0.179 0.179
0.233 0.875 0.375
0.767 0.625 0.125
0.858 0.610 0.610
0.142 0.390 0.390
```

Calculated values
- N(E_F) (states/eV per atom) = 0.453
- space-group type = C2/m
- ΔE_f (raw) (eV/atom) = -1.0594